No. 1
NiAgBr3 | the Alexandria database | PBEsol | relaxed; DOS at the Fermi energy = 13.188 states/eV/cell; ρ = 4.93 Mg/m³; raw total energy = -12.12 eV per formula unit; size of the total moment = 1.12 μB/f.u.; formation energy from raw total energies = 0.5925 eV/atom
1.0
5.155 0.000 0.000
0.000 5.155 0.000
0.000 0.000 5.155
Ni Ag Br
1 1 3
Direct
0.000 0.000 0.000
0.500 0.500 0.500
0.000 0.500 0.500
0.500 0.000 0.500
0.500 0.500 0.000



No. 2
Ni2AgBr | the Alexandria database | PBEsol | relaxed; DOS at the Fermi energy = 2.155 states/eV/cell; ρ = 8.90 Mg/m³; raw total energy = -15.45 eV per formula unit; size of the total moment = 0.00 μB/f.u.; formation energy from raw total energies = 0.5128 eV/atom
1.0
3.088 -3.098 0.000
3.088 3.098 0.000
0.000 0.000 2.975
Ni Ag Br
2 1 1
Direct
0.000 0.500 0.000
0.500 0.000 0.000
0.000 0.000 0.500
0.500 0.500 0.500



No. 3
NiAgSeBr2 | the Alexandria database | PBEsol | relaxed; DOS at the Fermi energy = 6.184 states/eV/cell; ρ = 5.14 Mg/m³; raw total energy = -12.98 eV per formula unit; size of the total moment = 1.67 μB/f.u.; formation energy from raw total energies = 0.8153 eV/atom
1.0
5.060 0.000 0.000
0.000 5.060 0.000
0.000 0.000 5.112
Ni Ag Se Br
1 1 1 2
Direct
0.000 0.000 0.000
0.500 0.500 0.500
0.500 0.500 0.000
0.000 0.500 0.500
0.500 0.000 0.500